[1]
PBEsol La4ZnPb, relaxed; space group = No. 216; V = 181 Å³/cell
1.0
-4.6288 2.5514 -3.5284
-5.0363 -3.5062 -1.6512
-5.6821 1.1842 2.5876
La Pb Zn
4 1 1
Direct
0.3765 0.3765 0.3765
0.3765 0.3765 0.8704
0.8704 0.3765 0.3765
0.3765 0.8704 0.3765
0.7500 0.7500 0.7500
0.0000 0.0000 0.0000


[2]
PBEsol LaZr2Pb, relaxed; space group = No. 25; V = 104 Å³/cell
1.0
-0.5644 1.2906 3.0386
-1.5378 -3.5639 1.2281
6.9150 -2.2168 2.2259
La Pb Zr
1 1 2
Direct
0.0000 0.0000 0.5005
0.5000 0.5000 0.7867
0.0000 0.0000 0.0003
0.5000 0.5000 0.2125


[3]
PBEsol La2ZrPb, relaxed; space group = No. 12; V = 111 Å³/cell
1.0
3.3653 0.0000 0.0000
0.0000 5.6989 -0.0078
-1.6827 -0.9908 5.7679
La Pb Zr
2 1 1
Direct
0.2447 0.2348 0.4895
0.7553 0.7652 0.5105
0.5000 0.0000 0.0000
0.0000 0.5000 0.0000


[4]
PBEsol La2ZrPb, relaxed; space group = No. 99; V = 110 Å³/cell
1.0
-0.4728 2.4969 2.9847
0.3373 -2.9690 2.5373
7.0794 1.0278 0.2616
La Pb Zr
2 1 1
Direct
0.0000 0.0000 0.9886
0.5000 0.5000 0.2744
0.0000 0.0000 0.5261
0.5000 0.5000 0.7109


Number 1: ΔE_f 17 kJ per mole of atoms. Number 2: ΔE_f -10 kJ per mole of atoms. Number 3: ΔE_f -4 kJ per mole of atoms. Number 4: ΔE_f -16 kJ per mole of atoms.